(1)
LaMg2CoSi after structural relaxation. Source: Alexandria via LeMat-Bulk, functional PBEsol.

Unit cell a=4.808 b=4.808 c=4.804 alpha=90.00 beta=90.00 gamma=90.00
Atoms (fractional coordinates):
Co: 0.000 0.000 0.000
La: 0.000 0.000 0.500
Mg: 0.000 0.500 0.000
Mg: 0.500 0.000 0.000
Si: 0.500 0.500 0.500

Properties
Space group: P4/mmm

=====

(2)
CrSbAs2Se after structural relaxation. Source: Alexandria via LeMat-Bulk, functional PBEsol.

Unit cell a=4.524 b=4.524 c=5.150 alpha=90.00 beta=90.00 gamma=90.00
Atoms (fractional coordinates):
Se: 0.000 0.000 0.500
Cr: 0.000 0.000 0.000
As: 0.000 0.500 0.000
As: 0.500 0.000 0.000
Sb: 0.500 0.500 0.500

Properties
Space group: P4/mmm

=====

(3)
Y2WAu after structural relaxation. Source: Alexandria via LeMat-Bulk, functional PBEsol.

Unit cell a=3.277 b=3.277 c=9.519 alpha=80.09 beta=80.09 gamma=60.00
Atoms (fractional coordinates):
Y: 0.749 0.749 0.752
Y: 0.251 0.251 0.248
Au: 0.500 0.500 0.500
W: 0.000 0.000 0.000

Properties
Formation energy (eV per atom): 0.26
Space group: R-3m
E above lowest polymorph (kcal/mol of atoms): 0.00

=====

E_tot, record by record: -4.318 -5.435 -7.581 eV/atom
Ρ, record by record: 4.10 6.34 10.69 g cm⁻³